[1]
VASP calculation (PBE-GGA) on Eu2CoTe after structural relaxation.

Cell lengths 4.325, 4.325, 22.115 Å; angles 90.00, 90.00, 120.00 degrees
Positions (direct):
Eu  0.000  0.000  0.242
Eu  0.000  0.000  0.758
Eu  0.333  0.667  0.425
Eu  0.333  0.667  0.909
Eu  0.667  0.333  0.091
Eu  0.667  0.333  0.575
Co  0.000  0.000  0.500
Co  0.333  0.667  0.167
Co  0.667  0.333  0.833
Te  0.000  0.000  0.000
Te  0.333  0.667  0.667
Te  0.667  0.333  0.333

Properties
Formation energy without anion corrections: -0.444 eV per atom
Symmetry: R-3m
Distance to the lowest polymorph of the same formula: 0.0 meV/atom
Final energy: -8.14 eV/atom
Theoretical density: 6.821 g/cm3

[2]
VASP calculation (PBE-GGA) on Eu3Co5Te12 after structural relaxation.

Cell lengths 14.258, 14.258, 14.258 Å; angles 109.47, 109.47, 109.47 degrees
Positions (direct):
Eu  0.125  0.250  0.375
Eu  0.125  0.375  0.750
Eu  0.250  0.375  0.125
Eu  0.250  0.875  0.625
Eu  0.375  0.125  0.250
Eu  0.375  0.750  0.125
Eu  0.625  0.250  0.875
Eu  0.625  0.875  0.750
Eu  0.750  0.125  0.375
Eu  0.750  0.625  0.875
Eu  0.875  0.625  0.250
Eu  0.875  0.750  0.625
Co  0.000  0.000  0.000
Co  0.000  0.000  0.500
Co  0.000  0.500  0.000
Co  0.000  0.500  0.500
Co  0.125  0.750  0.875
Co  0.125  0.875  0.250
Co  0.250  0.125  0.875
Co  0.250  0.625  0.375
Co  0.375  0.250  0.625
Co  0.375  0.625  0.750
Co  0.500  0.000  0.000
Co  0.500  0.000  0.500
Co  0.500  0.500  0.000
Co  0.500  0.500  0.500
Co  0.625  0.375  0.250
Co  0.625  0.750  0.375
Co  0.750  0.375  0.625
Co  0.750  0.875  0.125
Co  0.875  0.125  0.750
Co  0.875  0.250  0.125
Te  0.019  0.199  0.107
Te  0.019  0.320  0.913
Te  0.087  0.607  0.407
Te  0.087  0.981  0.680
Te  0.093  0.699  0.680
Te  0.093  0.893  0.413
Te  0.107  0.019  0.199
Te  0.107  0.587  0.907
Te  0.180  0.199  0.593
Te  0.180  0.481  0.587
Te  0.199  0.107  0.019
Te  0.199  0.593  0.180
Te  0.301  0.320  0.907
Te  0.301  0.481  0.393
Te  0.320  0.907  0.301
Te  0.320  0.913  0.019
Te  0.393  0.301  0.481
Te  0.393  0.593  0.913
Te  0.407  0.087  0.607
Te  0.407  0.820  0.801
Te  0.413  0.093  0.893
Te  0.413  0.820  0.519
Te  0.481  0.393  0.301
Te  0.481  0.587  0.180
Te  0.519  0.413  0.820
Te  0.519  0.607  0.699
Te  0.587  0.180  0.481
Te  0.587  0.907  0.107
Te  0.593  0.180  0.199
Te  0.593  0.913  0.393
Te  0.607  0.407  0.087
Te  0.607  0.699  0.519
Te  0.680  0.087  0.981
Te  0.680  0.093  0.699
Te  0.699  0.519  0.607
Te  0.699  0.680  0.093
Te  0.801  0.407  0.820
Te  0.801  0.893  0.981
Te  0.820  0.519  0.413
Te  0.820  0.801  0.407
Te  0.893  0.413  0.093
Te  0.893  0.981  0.801
Te  0.907  0.107  0.587
Te  0.907  0.301  0.320
Te  0.913  0.019  0.320
Te  0.913  0.393  0.593
Te  0.981  0.680  0.087
Te  0.981  0.801  0.893

Properties
Formation energy without anion corrections: -0.392 eV per atom
Symmetry: Ia-3d
Final energy: -5.59 eV/atom
Theoretical density: 6.793 g/cm3

[3]
VASP calculation (PBE-GGA) on EuThCo after structural relaxation.

Cell lengths 3.520, 3.520, 12.753 Å; angles 90.00, 90.00, 90.00 degrees
Positions (direct):
Eu  0.000  0.000  0.000
Eu  0.500  0.500  0.500
Th  0.000  0.000  0.738
Th  0.500  0.500  0.238
Co  0.000  0.000  0.334
Co  0.500  0.500  0.834

Properties
Symmetry: I4mm
Formation energy: 0.002 eV/atom
Final energy: -8.26 eV/atom
Theoretical density: 9.311 g/cm3